Record 1
TePt2Au2 after structural relaxation, computed with GGA-PBE.

Relative energy among the computed polymorphs   0.0000 eV per atom

abc: 7.137 7.137 3.758
angles: 90.00 90.00 90.00
Sites, in units of the cell vectors:
Pt 0.856 0.644 0.000
Pt 0.644 0.144 0.000
Pt 0.356 0.856 0.000
Pt 0.144 0.356 0.000
Au 0.153 0.653 0.500
Au 0.653 0.847 0.500
Au 0.347 0.153 0.500
Au 0.847 0.347 0.500
Te 0.000 0.000 0.000
Te 0.500 0.500 0.000


Record 2
AlTeRh2 after structural relaxation, computed with GGA-PBE.

Relative energy among the computed polymorphs   0.1539 eV per atom

abc: 5.408 5.408 5.408
angles: 143.59 134.12 59.94
Sites, in units of the cell vectors:
Al 0.236 0.736 0.500
Rh 0.018 0.018 0.000
Rh 0.738 0.238 0.500
Te 0.508 0.508 0.000


Record 3
TeRu2Se after structural relaxation, computed with GGA-PBE.

Relative energy among the computed polymorphs   0.6199 eV per atom

abc: 3.081 5.336 4.312
angles: 90.00 90.00 90.00
Sites, in units of the cell vectors:
Se 0.500 0.000 0.500
Te 0.000 0.500 0.500
Ru 0.500 0.500 0.000
Ru 0.000 0.000 0.000


Record 4
LiHf2Ga after structural relaxation, computed with GGA-PBE.

Energy of formation   -120.0 meV per atom

abc: 3.816 4.374 4.374
angles: 90.00 90.00 90.00
Sites, in units of the cell vectors:
Hf 0.000 0.000 0.500
Hf 0.000 0.500 0.000
Li 0.500 0.500 0.500
Ga 0.500 0.000 0.000


Record 5
NaGa8Pt2 after structural relaxation, computed with GGA-PBE.

Energy of formation   -239.4 meV per atom

abc: 6.333 6.333 5.314
angles: 90.00 90.00 90.00
Sites, in units of the cell vectors:
Pt 0.000 0.500 0.000
Pt 0.500 0.000 0.000
Ga 0.214 0.214 0.258
Ga 0.214 0.214 0.742
Ga 0.786 0.786 0.742
Ga 0.214 0.786 0.258
Ga 0.786 0.214 0.742
Ga 0.786 0.786 0.258
Ga 0.786 0.214 0.258
Ga 0.214 0.786 0.742
Na 0.500 0.500 0.500


Record 6
CrSnPt after structural relaxation, computed with GGA-PBE.

Energy of formation   -3.0 meV per atom

abc: 5.964 4.688 8.198
angles: 90.00 113.04 90.00
Sites, in units of the cell vectors:
Pt 0.250 0.500 0.345
Pt 0.750 0.500 0.655
Pt 0.250 0.000 0.845
Pt 0.750 0.000 0.155
Cr 0.154 0.000 0.491
Cr 0.154 0.500 0.991
Cr 0.846 0.000 0.509
Cr 0.846 0.500 0.009
Sn 0.271 0.000 0.183
Sn 0.729 0.000 0.817
Sn 0.729 0.500 0.317
Sn 0.271 0.500 0.683


Record 7
K4BaNb5O15 after structural relaxation, computed with GGA-PBE.

Total energy   -7.77 eV per atom

abc: 9.117 9.117 7.065
angles: 75.03 75.03 36.85
Sites, in units of the cell vectors:
O 0.099 0.603 0.099
O 0.500 0.000 0.500
O 0.603 0.099 0.099
O 0.700 0.700 0.200
O 0.397 0.901 0.901
O 0.300 0.300 0.800
O 0.298 0.802 0.298
O 0.099 0.099 0.603
O 0.901 0.397 0.901
O 0.802 0.298 0.298
O 0.702 0.198 0.702
O 0.198 0.702 0.702
O 0.901 0.901 0.397
O 0.500 0.500 0.000
O 0.000 0.500 0.500
K 0.400 0.400 0.402
K 0.799 0.799 0.799
K 0.201 0.201 0.201
K 0.600 0.600 0.598
Nb 0.799 0.799 0.303
Nb 0.201 0.201 0.697
Nb 0.602 0.602 0.099
Nb 0.000 0.000 0.500
Nb 0.398 0.398 0.901
Ba 0.000 0.000 0.000


Record 8
PuGeAu6 after structural relaxation, computed with GGA-PBE.

Energy of formation   -141.3 meV per atom

abc: 4.974 5.658 6.738
angles: 110.10 88.26 109.57
Each line ends with the local moment (μB).
Sites, in units of the cell vectors:
Au 0.071 0.784 0.650  0.01
Au 0.076 0.283 0.651  0.00
Au 0.040 0.684 0.055  -0.01
Au 0.840 0.300 0.257  0.01
Au 0.547 0.250 0.855  0.01
Au 0.577 0.773 0.875  0.00
Ge 0.285 0.160 0.286  0.00
Pu 0.564 0.765 0.370  5.30


Record 9
ZrVCrRe after structural relaxation, computed with GGA-PBE.

Energy of formation   -2.3 meV per atom

abc: 4.434 4.434 4.434
angles: 60.00 60.00 60.00
Each line ends with the local moment (μB).
Sites, in units of the cell vectors:
Re 0.250 0.250 0.250  0.08
V 0.500 0.500 0.500  -0.34
Zr 0.000 0.000 0.000  -0.01
Cr 0.750 0.750 0.750  0.78


Record 10
Li2MgTe after structural relaxation, computed with GGA-PBE.

Relative energy among the computed polymorphs   0.0724 eV per atom

abc: 3.893 3.893 5.914
angles: 90.00 90.00 90.00
Sites, in units of the cell vectors:
Te 0.500 0.500 0.761
Mg 0.000 0.000 0.504
Li 0.000 0.000 0.987
Li 0.500 0.500 0.248


Record 11
Pr2Al3GaPt4 after structural relaxation, computed with GGA-PBE.

Energy of formation   -1079.4 meV per atom

abc: 4.364 4.364 10.224
angles: 90.00 90.00 90.00
Sites, in units of the cell vectors:
Pt 0.500 0.500 0.000
Pt 0.000 0.000 0.000
Pt 0.500 0.000 0.632
Pt 0.000 0.500 0.368
Al 0.500 0.000 0.875
Al 0.000 0.500 0.125
Al 0.000 0.000 0.500
Pr 0.000 0.500 0.748
Pr 0.500 0.000 0.252
Ga 0.500 0.500 0.500


Record 12
MnSe4 after structural relaxation, computed with GGA-PBE.

Relative energy among the computed polymorphs   0.0000 eV per atom

abc: 5.750 5.750 5.750
angles: 122.54 122.54 85.65
Each line ends with the local moment (μB).
Sites, in units of the cell vectors:
Se 0.714 0.714 0.000  -0.05
Se 0.750 0.250 0.500  0.02
Se 0.250 0.750 0.500  0.02
Se 0.286 0.286 0.000  -0.05
Mn 0.000 0.000 0.000  4.17


Results for D(E_F): 0.37; 0.46; 1.49; 0.62; 0.26; 0.91; 0.14; 2.14; 1.05; 0.12; 0.88; 0.43 (in states/eV/atom, following the order of the records).